Entry 1:
This record from Alexandria via LeMat-Bulk describes a PBEsol-optimized structure of Ca5Au3. The functional is SCAN.

abc: 6.4054 8.7673 8.7673
angles: 120.00 90.00 90.00
Atoms (fractional coordinates):
1 Ca 0.0000 0.6667 0.3333
2 Ca 0.5000 0.6667 0.3333
3 Au 0.2500 0.0000 0.3901
4 Au 0.7500 0.0000 0.6099
5 Ca 0.2500 0.2602 0.2602
6 Au 0.2500 0.3901 0.0000
7 Ca 0.5000 0.3333 0.6667
8 Au 0.2500 0.6099 0.6099
9 Ca 0.7500 0.2602 0.0000
10 Ca 0.2500 0.7398 0.0000
11 Ca 0.7500 0.0000 0.2602
12 Ca 0.7500 0.7398 0.7398
13 Au 0.7500 0.3901 0.3901
14 Ca 0.0000 0.3333 0.6667
15 Ca 0.2500 0.0000 0.7398
16 Au 0.7500 0.6099 0.0000

Computed properties:
The space group is P6_3/mcm. As for the total magnetization: 0.00 μB per cell. The calculated formation energy comes out at -0.814 eV per atom.

***

Entry 2:
This record from Alexandria via LeMat-Bulk describes a PBEsol-optimized structure of AuCl2. The functional is SCAN.

abc: 3.1450 4.4526 4.4526
angles: 90.00 90.00 90.00
Atoms (fractional coordinates):
1 Au 0.0000 0.0000 0.0000
2 Cl 0.5000 0.0000 0.5000
3 Cl 0.5000 0.5000 0.0000

Computed properties:
The space group is P4/mmm. As for the total magnetization: 0.00 μB per cell. The formation energy from raw total energies is 0.224 eV/atom.

***

Entry 3:
This record from Alexandria via LeMat-Bulk describes a PBEsol-optimized structure of Mo2AsP. The functional is SCAN.

abc: 3.2540 3.2490 6.1247
angles: 105.38 105.41 90.00
Atoms (fractional coordinates):
1 As 0.2087 0.7087 0.4174
2 Mo 0.0349 0.0349 0.0699
3 P 0.4582 0.4582 0.9164
4 Mo 0.7981 0.2981 0.5962

Computed properties:
The space group is Imm2. As for the total magnetization: 0.00 μB per cell. The calculated formation energy comes out at -0.418 eV per atom.

***

Entry 4:
This record from Alexandria via LeMat-Bulk describes a PBEsol-optimized structure of Re2PtCl. The functional is SCAN.

abc: 2.7596 4.1910 5.4796
angles: 99.03 90.00 109.22
Atoms (fractional coordinates):
1 Re 0.2492 0.4984 0.2806
2 Cl 0.0000 0.0000 0.5000
3 Re 0.7508 0.5016 0.7194
4 Pt 0.5000 0.0000 0.0000

Computed properties:
The space group is C2/m. As for the total magnetization: 0.00 μB per cell. The formation energy from raw total energies is 0.768 eV/atom.

***

Entry 5:
This record from Alexandria via LeMat-Bulk describes a PBEsol-optimized structure of Ga2SbTeC. The functional is SCAN.

abc: 5.3509 5.3509 5.7017
angles: 90.00 90.00 90.00
Last column: magnetic moment on the atom in μB.
Atoms (fractional coordinates):
1 C 0.5000 0.5000 0.5000  0.98
2 Ga 0.5000 0.0000 0.0000  -0.01
3 Sb 0.0000 0.0000 0.0000  0.01
4 Te 0.0000 0.0000 0.5000  -0.14
5 Ga 0.0000 0.5000 0.0000  -0.01

Computed properties:
The space group is P4/mmm. As for the total magnetization: 1.86 μB per cell. The formation energy from raw total energies is 1.825 eV/atom.

***

Entry 6:
This record from Alexandria via LeMat-Bulk describes a PBEsol-optimized structure of ReMoIr2. The functional is SCAN.

abc: 2.7289 4.3819 4.7853
angles: 90.00 90.00 90.00
Atoms (fractional coordinates):
1 Ir 0.0000 0.0000 0.0473
2 Mo 0.5000 0.0000 0.5417
3 Re 0.5000 0.5000 0.2058
4 Ir 0.0000 0.5000 0.7052

Computed properties:
The space group is Pmm2. As for the total magnetization: 0.00 μB per cell. The calculated formation energy comes out at -0.414 eV per atom.

***

Entry 7:
This record from Alexandria via LeMat-Bulk describes a PBEsol-optimized structure of ReNiN2. The functional is SCAN.

abc: 4.4128 4.4128 5.4812
angles: 113.74 113.74 90.00
Last column: magnetic moment on the atom in μB.
Atoms (fractional coordinates):
1 N 0.6250 0.6267 0.7500  -0.02
2 N 0.1250 0.1233 0.7500  -0.02
3 N 0.8767 0.3750 0.2500  -0.02
4 Re 0.0000 0.0000 0.0000  0.34
5 Ni 0.7500 0.2500 0.5000  -0.42
6 Re 0.2500 0.7500 0.5000  0.34
7 Ni 0.5000 0.5000 0.0000  -0.42
8 N 0.3733 0.8750 0.2500  -0.02

Computed properties:
The space group is I-42d. As for the total magnetization: 0.06 μB per cell. The formation energy from raw total energies is 0.152 eV/atom.

***

Entry 8:
This record from Alexandria via LeMat-Bulk describes a PBEsol-optimized structure of FeBiN2. The functional is SCAN.

abc: 3.0570 3.0570 6.7070
angles: 76.83 76.83 60.00
Last column: magnetic moment on the atom in μB.
Atoms (fractional coordinates):
1 Fe 0.5000 0.5000 0.5000  2.19
2 N 0.1206 0.1206 0.6382  0.06
3 Bi 0.0000 0.0000 0.0000  0.01
4 N 0.8794 0.8794 0.3618  0.06

Computed properties:
The space group is R-3m. As for the total magnetization: 2.34 μB per cell. The formation energy from raw total energies is 0.531 eV/atom.

***

Entry 9:
This record from Alexandria via LeMat-Bulk describes a PBEsol-optimized structure of CaCd2Hg. The functional is SCAN.

abc: 3.2731 5.4871 6.1238
angles: 114.71 102.53 96.45
Atoms (fractional coordinates):
1 Cd 0.0000 0.0000 0.5000
2 Ca 0.0000 0.5000 0.0000
3 Hg 0.5000 0.0000 0.0000
4 Cd 0.5000 0.5000 0.5000

Computed properties:
The space group is C2/m. As for the total magnetization: 0.00 μB per cell. The calculated formation energy comes out at -0.213 eV per atom.

***

Entry 10:
This record from Alexandria via LeMat-Bulk describes a PBEsol-optimized structure of Mo2RuCl. The functional is SCAN.

abc: 4.3321 4.3321 4.3321
angles: 60.00 60.00 60.00
Atoms (fractional coordinates):
1 Ru 0.5000 0.5000 0.5000
2 Cl 0.0000 0.0000 0.0000
3 Mo 0.7500 0.7500 0.7500
4 Mo 0.2500 0.2500 0.2500

Computed properties:
The space group is Fm-3m. As for the total magnetization: 0.00 μB per cell. The formation energy from raw total energies is 0.788 eV/atom.

***

Entry 11:
This record from Alexandria via LeMat-Bulk describes a PBEsol-optimized structure of SrSb5. The functional is SCAN.

abc: 4.4065 6.5972 7.0120
angles: 112.98 108.31 90.00
Atoms (fractional coordinates):
1 Sb 0.3057 0.5555 0.6114
2 Sb 0.9758 0.9436 0.9516
3 Sb 0.9675 0.4980 0.9350
4 Sb 0.6352 0.1677 0.2704
5 Sr 0.3053 0.0551 0.6106
6 Sb 0.6439 0.6134 0.2877

Computed properties:
The space group is C2/m. As for the total magnetization: 0.00 μB per cell. The formation energy from raw total energies is -0.285 eV/atom.

***

Entry 12:
This record from Alexandria via LeMat-Bulk describes a PBEsol-optimized structure of Be2Co2Pd. The functional is SCAN.

abc: 2.5022 6.4120 6.4120
angles: 90.00 90.00 90.00
Last column: magnetic moment on the atom in μB.
Atoms (fractional coordinates):
1 Co 0.0000 0.1201 0.3799  1.43
2 Co 0.0000 0.3799 0.8799  1.43
3 Pd 0.0000 0.5000 0.5000  0.06
4 Be 0.5000 0.6756 0.8244  -0.06
5 Be 0.5000 0.8244 0.3244  -0.06
6 Co 0.0000 0.8799 0.6201  1.43
7 Pd 0.0000 0.0000 0.0000  0.06
8 Co 0.0000 0.6201 0.1201  1.43
9 Be 0.5000 0.3244 0.1756  -0.06
10 Be 0.5000 0.1756 0.6756  -0.06

Computed properties:
The space group is P4/mbm. As for the total magnetization: 5.48 μB per cell. The calculated formation energy comes out at -0.018 eV per atom.

***

> Look up the total magnetization of the fifth one.

1.86 μB per cell

***

> What is the total magnetization in the first record?

0.00 μB per cell